Arrangement w

ZnSi3Mo: optimized geometry, PBE-GGA.

Cell lengths 4.5831, 4.5831, 4.5831 Å; angles 90.00, 90.00, 90.00 degrees
Closest atoms and distances in Å follow each position.
Space group Pm-3m (No. 221)
Inequivalent atoms, fractional coordinates:
Zn  0.0000  0.0000  0.0000 x1  6 Si 2.29
Si  0.0000  0.0000  0.5000 x3  2 Zn 2.29
Mo  0.5000  0.5000  0.5000 x1  12 Si 3.24

Properties
V: 19.25 Å³ per atom


Arrangement x

ZnSi3Mo: optimized geometry, PBE-GGA.

Cell lengths 4.7687, 4.7687, 4.7687 Å; angles 90.00, 90.00, 90.00 degrees
Closest atoms and distances in Å follow each position.
Space group Pm-3m (No. 221)
Inequivalent atoms, fractional coordinates:
Zn  0.0000  0.0000  0.0000 x1  12 Si 3.37
Si  0.0000  0.5000  0.5000 x3  2 Mo 2.38
Mo  0.5000  0.5000  0.5000 x1  6 Si 2.38

Properties
V: 21.69 Å³ per atom


The structure with the most favorable energy is arrangement x; the runner-up is 852 meV per atom above it.


Arrangement w

ZrSi2Mo: optimized geometry, PBE-GGA.

Cell lengths 6.3485, 6.3485, 6.3485 Å; angles 90.00, 90.00, 90.00 degrees
Closest atoms and distances in Å follow each position.
Space group Fm-3m (No. 225)
Inequivalent atoms, fractional coordinates:
Zr  0.0000  0.0000  0.0000 x4  8 Si 2.75
Si  0.2500  0.2500  0.2500 x8  4 Zr 2.75, 4 Mo 2.75
Mo  0.0000  0.0000  0.5000 x4  8 Si 2.75

Properties
V: 15.99 Å³ per atom


Arrangement x

ZrSi2Mo: optimized geometry, PBE-GGA.

Cell lengths 5.8257, 7.4147, 3.1250 Å; angles 90.00, 104.81, 90.00 degrees
Closest atoms and distances in Å follow each position.
Space group C2/m (No. 12)
Inequivalent atoms, fractional coordinates:
Zr  0.0000  0.0000  0.0000 x2  4 Si 2.61, 2 Mo 2.91
Si  0.2500  0.2500  0.5000 x4  2 Zr 2.61, 2 Mo 2.61, 2 Si 2.91
Mo  0.0000  0.5000  0.0000 x2  4 Si 2.61, 2 Zr 2.91

Properties
V: 16.31 Å³ per atom


The structure with the most favorable energy is arrangement x; the runner-up is 16 meV per atom above it.


Arrangement w

ZrSi2Mo: optimized geometry, PBE-GGA.

Cell lengths 8.0820, 3.6075, 5.0799 Å; angles 90.00, 115.11, 90.00 degrees
Closest atoms and distances in Å follow each position.
Space group C2/m (No. 12)
Inequivalent atoms, fractional coordinates:
Zr  0.0000  0.0000  0.0000 x2  4 Si 2.73
Si  0.2415  0.0000  0.6718 x4  3 Mo 2.53-2.58, 2 Si 2.55, 2 Zr 2.73
Mo  0.0000  0.5000  0.5000 x2  6 Si 2.53-2.58

Properties
V: 16.76 Å³ per atom


Arrangement x

ZrSi2Mo: optimized geometry, PBE-GGA.

Cell lengths 3.3874, 3.3874, 5.6352 Å; angles 90.00, 90.00, 90.00 degrees
Closest atoms and distances in Å follow each position.
Space group P4mm (No. 99)
Inequivalent atoms, fractional coordinates:
Zr  0.0000  0.0000  0.0000 x1  6 Si 2.78-2.86, 4 Mo 2.88
Si  0.0000  0.0000  0.4932 x1  4 Mo 2.67, 4 Si 2.76, 2 Zr 2.78-2.86
Si  0.5000  0.5000  0.7355 x1  1 Mo 2.55, 4 Si 2.76, 4 Zr 2.82
Mo  0.5000  0.5000  0.2827 x1  5 Si 2.55-2.67

Properties
V: 16.17 Å³ per atom


The structure with the most favorable energy is arrangement w; the runner-up is 54 meV per atom above it.


Arrangement w

ZrSi2Mo: optimized geometry, PBE-GGA.

Cell lengths 3.8497, 3.8497, 8.6807 Å; angles 90.00, 90.00, 90.00 degrees
Closest atoms and distances in Å follow each position.
Space group I-4m2 (No. 119)
Inequivalent atoms, fractional coordinates:
Zr  0.0000  0.0000  0.0000 x2  8 Si 2.72-2.90, 4 Mo 2.90
Si  0.0000  0.0000  0.5000 x2  4 Zr 2.72, 4 Mo 2.90, 4 Si 2.90
Si  0.0000  0.5000  0.2500 x2  4 Mo 2.72, 4 Zr 2.90, 4 Si 2.90
Mo  0.0000  0.5000  0.7500 x2  8 Si 2.72-2.90, 4 Zr 2.90

Properties
V: 16.08 Å³ per atom


Arrangement x

ZrSi2Mo: optimized geometry, PBE-GGA.

Cell lengths 3.9312, 3.9312, 18.4656 Å; angles 90.00, 90.00, 90.00 degrees
Closest atoms and distances in Å follow each position.
Space group I-42d (No. 122)
Inequivalent atoms, fractional coordinates:
Zr  0.0000  0.0000  0.0000 x4  4 Si 2.77, 4 Mo 2.78
Si  0.2010  0.2500  0.6250 x8  2 Si 2.52, 2 Mo 2.63, 2 Zr 2.77
Mo  0.0000  0.0000  0.5000 x4  4 Si 2.63, 4 Zr 2.78

Properties
V: 17.84 Å³ per atom


Arrangement y

ZrSi2Mo: optimized geometry, PBE-GGA.

Cell lengths 3.9034, 3.4318, 9.5032 Å; angles 90.00, 90.00, 90.00 degrees
Closest atoms and distances in Å follow each position.
Space group Amm2 (No. 38)
Inequivalent atoms, fractional coordinates:
Zr  0.0000  0.0000  0.0000 x2  7 Si 2.61-2.75
Si  0.0000  0.0000  0.2745 x2  2 Si 2.44, 1 Zr 2.61, 4 Mo 2.66
Si  0.5000  0.0000  0.4279 x2  2 Si 2.44, 3 Mo 2.67-2.71, 4 Zr 2.69
Mo  0.5000  0.0000  0.7132 x2  7 Si 2.66-2.71

Properties
V: 15.91 Å³ per atom


Arrangement z

ZrSi2Mo: optimized geometry, PBE-GGA.

Cell lengths 3.0680, 3.4152, 6.3858 Å; angles 90.00, 101.45, 90.00 degrees
Closest atoms and distances in Å follow each position.
Space group P2/m (No. 10)
Inequivalent atoms, fractional coordinates:
Zr  0.0000  0.0000  0.0000 x1  4 Si 2.72
Si  0.4549  0.5000  0.2954 x2  4 Mo 2.56-2.70, 1 Si 2.57, 2 Zr 2.72
Mo  0.0000  0.0000  0.5000 x1  8 Si 2.56-2.70

Properties
V: 16.39 Å³ per atom


The structure with the most favorable energy is arrangement y; the runner-up is 146 meV per atom above it.


Arrangement w

ZrSi2Mo2: optimized geometry, PBE-GGA.

Cell lengths 4.5924, 4.5924, 8.3604 Å; angles 90.00, 90.00, 90.00 degrees
Closest atoms and distances in Å follow each position.
Space group I4/mmm (No. 139)
Inequivalent atoms, fractional coordinates:
Zr  0.0000  0.0000  0.0000 x2  2 Mo 3.02, 8 Si 3.11
Si  0.0000  0.5000  0.2500 x4  4 Mo 2.48
Mo  0.0000  0.0000  0.3614 x4  1 Mo 2.32, 4 Si 2.48

Properties
V: 17.63 Å³ per atom


Arrangement x

ZrSi2Mo2: optimized geometry, PBE-GGA.

Cell lengths 3.8634, 3.8634, 11.1397 Å; angles 90.00, 90.00, 90.00 degrees
Closest atoms and distances in Å follow each position.
Space group I4/mmm (No. 139)
Inequivalent atoms, fractional coordinates:
Zr  0.0000  0.0000  0.0000 x2  8 Si 2.96
Si  0.0000  0.0000  0.3972 x4  1 Si 2.29, 4 Mo 2.53
Mo  0.0000  0.5000  0.2500 x4  4 Si 2.53, 4 Mo 2.73

Properties
V: 16.63 Å³ per atom


Arrangement y

ZrSi2Mo2: optimized geometry, PBE-GGA.

Cell lengths 6.9577, 6.9577, 3.2628 Å; angles 90.00, 90.00, 90.00 degrees
Closest atoms and distances in Å follow each position.
Space group P4/mbm (No. 127)
Inequivalent atoms, fractional coordinates:
Zr  0.0000  0.0000  0.0000 x2  4 Si 2.72
Si  0.1313  0.3687  0.0000 x4  1 Si 2.58, 6 Mo 2.59-2.64, 2 Zr 2.72
Mo  0.1572  0.6572  0.5000 x4  6 Si 2.59-2.64

Properties
V: 15.79 Å³ per atom


The structure with the most favorable energy is arrangement y; the runner-up is 67 meV per atom above it.


Arrangement w

ZrSiMo3: optimized geometry, PBE-GGA.

Cell lengths 4.5428, 4.5428, 4.5428 Å; angles 90.00, 90.00, 90.00 degrees
Closest atoms and distances in Å follow each position.
Space group Pm-3m (No. 221)
Inequivalent atoms, fractional coordinates:
Zr  0.0000  0.0000  0.0000 x1  12 Mo 3.21
Si  0.5000  0.5000  0.5000 x1  6 Mo 2.27
Mo  0.0000  0.5000  0.5000 x3  2 Si 2.27

Properties
V: 18.75 Å³ per atom


Arrangement x

ZrSiMo3: optimized geometry, PBE-GGA.

Cell lengths 4.7870, 4.7870, 4.7870 Å; angles 90.00, 90.00, 90.00 degrees
Closest atoms and distances in Å follow each position.
Space group Pm-3m (No. 221)
Inequivalent atoms, fractional coordinates:
Zr  0.0000  0.0000  0.0000 x1  6 Mo 2.39
Si  0.5000  0.5000  0.5000 x1  12 Mo 3.38
Mo  0.0000  0.0000  0.5000 x3  2 Zr 2.39

Properties
V: 21.94 Å³ per atom


The structure with the most favorable energy is arrangement w; the runner-up is 1623 meV per atom above it.


Arrangement w

SrSn3Mo: optimized geometry, PBE-GGA.

Cell lengths 5.6721, 5.6721, 5.6721 Å; angles 90.00, 90.00, 90.00 degrees
Closest atoms and distances in Å follow each position.
Space group Pm-3m (No. 221)
Inequivalent atoms, fractional coordinates:
Sr  0.0000  0.0000  0.0000 x1  6 Sn 2.84
Sn  0.0000  0.0000  0.5000 x3  2 Sr 2.84
Mo  0.5000  0.5000  0.5000 x1  12 Sn 4.01

Properties
V: 36.50 Å³ per atom


Arrangement x

SrSn3Mo: optimized geometry, PBE-GGA.

Cell lengths 5.3022, 5.3022, 5.3022 Å; angles 90.00, 90.00, 90.00 degrees
Closest atoms and distances in Å follow each position.
Space group Pm-3m (No. 221)
Inequivalent atoms, fractional coordinates:
Sr  0.0000  0.0000  0.0000 x1  12 Sn 3.75
Sn  0.0000  0.5000  0.5000 x3  2 Mo 2.65
Mo  0.5000  0.5000  0.5000 x1  6 Sn 2.65

Properties
V: 29.81 Å³ per atom


The structure with the most favorable energy is arrangement x; the runner-up is 2029 meV per atom above it.


Arrangement w

SrSnMo3: optimized geometry, PBE-GGA.

Cell lengths 5.0571, 5.0571, 5.0571 Å; angles 90.00, 90.00, 90.00 degrees
Closest atoms and distances in Å follow each position.
Space group Pm-3m (No. 221)
Inequivalent atoms, fractional coordinates:
Sr  0.0000  0.0000  0.0000 x1  12 Mo 3.58
Sn  0.5000  0.5000  0.5000 x1  6 Mo 2.53
Mo  0.0000  0.5000  0.5000 x3  2 Sn 2.53

Properties
V: 25.87 Å³ per atom


Arrangement x

SrSnMo3: optimized geometry, PBE-GGA.

Cell lengths 4.8468, 4.8468, 4.8468 Å; angles 90.00, 90.00, 90.00 degrees
Closest atoms and distances in Å follow each position.
Space group Pm-3m (No. 221)
Inequivalent atoms, fractional coordinates:
Sr  0.0000  0.0000  0.0000 x1  6 Mo 2.42
Sn  0.5000  0.5000  0.5000 x1  12 Mo 3.43
Mo  0.0000  0.0000  0.5000 x3  2 Sr 2.42

Properties
V: 22.77 Å³ per atom


The structure with the most favorable energy is arrangement w; the runner-up is 1029 meV per atom above it.